First-principles (PBE-GGA) data for La2TmTl2 after structural relaxation, as listed in the Alexandria database.

Space-group type: Immm (71)
Final energy: -20.581 eV/f.u.
Formation energy from the elements: -0.30 eV/atom

Structure (POSCAR):
```
La2TmTl2
1.0
5.010 0.000 0.000
2.505 5.695 -0.180
2.505 1.352 5.535
Tl Tm La
2 1 2
direct
0.500 0.728 0.272
0.500 0.272 0.728
0.000 0.000 0.000
0.816 0.684 0.684
0.184 0.316 0.316
```